DFT (PBE) results for crystalline Cs2MoOs2 at its relaxed geometry.

The structure belongs to space group I4/mmm (No. 139); the cell edges are 4.320, 4.320 and 15.698 Å and the angles 90.00°, 90.00° and 90.00°. Symmetry generates all atoms from Cs at (0.000, 0.500, 0.250), Mo at (0.000, 0.000, 0.000) and Os at (0.000, 0.000, 0.431).

As for the final energy: -4.48 eV per atom. The value obtained for the density of states at the Fermi level is 5.20 states/eV/cell.